Record 1
# meta-GGA SCAN BTeN2Cl, single point on PBEsol structure
# - raw total energy (eV/atom) = -12.67
# - formation energy (no corrections) (eV/atom) = 1.581
# - DOS(E_F) (states/eV/atom) = 0.413
data_BTeN2Cl
_chemical_formula_sum 'B1 Te1 N2 Cl1'
_symmetry_space_group_name_H-M 'P 4/m m m'
_symmetry_Int_Tables_number 123
_symmetry_space_group_name_Hall '-P 4 2'
_cell_length_a 3.681
_cell_length_b 3.681
_cell_length_c 4.034
_cell_angle_alpha 90.00
_cell_angle_beta 90.00
_cell_angle_gamma 90.00
loop_
_atom_site_label
_atom_site_type_symbol
_atom_site_fract_x
_atom_site_fract_y
_atom_site_fract_z
B1 B 0.000 0.000 0.000
Te1 Te 0.500 0.500 0.500
N1 N 0.000 0.500 0.000
Cl1 Cl 0.000 0.000 0.500

Record 2
# meta-GGA SCAN RbNa2B6ClO10, single point on PBEsol structure
# - raw total energy (eV/atom) = -9.75
# - formation energy (no corrections) (eV/atom) = -2.553
# - DOS(E_F) (states/eV/atom) = 0.000
data_RbNa2B6ClO10
_chemical_formula_sum 'Rb4 Na8 B24 Cl4 O40'
_symmetry_space_group_name_H-M 'P 21 21 21'
_symmetry_Int_Tables_number 19
_symmetry_space_group_name_Hall 'P 2ac 2ab'
_cell_length_a 8.350
_cell_length_b 9.666
_cell_length_c 12.783
_cell_angle_alpha 90.00
_cell_angle_beta 90.00
_cell_angle_gamma 90.00
loop_
_atom_site_label
_atom_site_type_symbol
_atom_site_fract_x
_atom_site_fract_y
_atom_site_fract_z
Rb1 Rb 0.029 0.247 0.266
Na1 Na 0.053 0.290 0.759
Na2 Na 0.240 0.495 0.033
B1 B 0.039 0.235 0.988
B2 B 0.045 0.761 0.977
B3 B 0.116 0.001 0.923
B4 B 0.202 0.005 0.729
B5 B 0.211 0.868 0.562
B6 B 0.213 0.136 0.561
Cl1 Cl 0.225 0.522 0.315
O1 O 0.009 0.879 0.921
O2 O 0.011 0.123 0.924
O3 O 0.055 0.150 0.517
O4 O 0.063 0.845 0.507
O5 O 0.174 0.244 0.049
O6 O 0.183 0.749 0.034
O7 O 0.184 0.883 0.675
O8 O 0.209 0.129 0.676
O9 O 0.214 0.999 0.022
O10 O 0.222 0.003 0.834

Record 3
# meta-GGA SCAN Na2TlBCl, single point on PBEsol structure
# - raw total energy (eV/atom) = -19.42
# - formation energy (no corrections) (eV/atom) = -0.183
# - DOS(E_F) (states/eV/atom) = 0.222
data_Na2TlBCl
_chemical_formula_sum 'Na2 Tl1 B1 Cl1'
_symmetry_space_group_name_H-M 'P 4/m m m'
_symmetry_Int_Tables_number 123
_symmetry_space_group_name_Hall '-P 4 2'
_cell_length_a 5.410
_cell_length_b 5.410
_cell_length_c 4.110
_cell_angle_alpha 90.00
_cell_angle_beta 90.00
_cell_angle_gamma 90.00
loop_
_atom_site_label
_atom_site_type_symbol
_atom_site_fract_x
_atom_site_fract_y
_atom_site_fract_z
Na1 Na 0.000 0.500 0.000
Tl1 Tl 0.000 0.000 0.500
B1 B 0.000 0.000 0.000
Cl1 Cl 0.500 0.500 0.500

Record 4
# meta-GGA SCAN Ni3B7ClO13, single point on PBEsol structure
# - raw total energy (eV/atom) = -10.17
# - formation energy (no corrections) (eV/atom) = -2.278
# - DOS(E_F) (states/eV/atom) = 0.000
data_Ni3B7ClO13
_chemical_formula_sum 'Ni12 B28 Cl4 O52'
_symmetry_space_group_name_H-M 'P c a 21'
_symmetry_Int_Tables_number 29
_symmetry_space_group_name_Hall 'P 2c -2ac'
_cell_length_a 8.472
_cell_length_b 8.471
_cell_length_c 11.974
_cell_angle_alpha 90.00
_cell_angle_beta 90.00
_cell_angle_gamma 90.00
loop_
_atom_site_label
_atom_site_type_symbol
_atom_site_fract_x
_atom_site_fract_y
_atom_site_fract_z
Ni1 Ni 0.020 0.035 0.000
Ni2 Ni 0.022 0.463 0.998
Ni3 Ni 0.245 0.251 0.282
B1 B 0.001 0.998 0.252
B2 B 0.002 0.497 0.751
B3 B 0.047 0.750 0.152
B4 B 0.093 0.750 0.679
B5 B 0.245 0.746 0.005
B6 B 0.247 0.904 0.832
B7 B 0.249 0.596 0.831
Cl1 Cl 0.187 0.249 0.972
O1 O 0.036 0.336 0.233
O2 O 0.039 0.588 0.146
O3 O 0.041 0.170 0.730
O4 O 0.050 0.911 0.655
O5 O 0.085 0.561 0.348
O6 O 0.085 0.953 0.852
O7 O 0.120 0.833 0.067
O8 O 0.140 0.669 0.578
O9 O 0.169 0.023 0.271
O10 O 0.169 0.625 0.936
O11 O 0.171 0.473 0.770
O12 O 0.173 0.863 0.436
O13 O 0.234 0.751 0.761

Record 5
# meta-GGA SCAN BClO2, single point on PBEsol structure
# - raw total energy (eV/atom) = -7.50
# - formation energy (no corrections) (eV/atom) = -0.537
# - DOS(E_F) (states/eV/atom) = 0.387
# - polymorph energy (0 for the lowest one) (kcal/mol of atoms) = 0.00
data_BClO2
_chemical_formula_sum 'B3 Cl3 O6'
_symmetry_space_group_name_H-M 'R -3 m'
_symmetry_Int_Tables_number 166
_symmetry_space_group_name_Hall '-R 3 2"'
_cell_length_a 2.7933
_cell_length_b 2.7933
_cell_length_c 26.0728
_cell_angle_alpha 90.00
_cell_angle_beta 90.00
_cell_angle_gamma 120.00
loop_
_atom_site_label
_atom_site_type_symbol
_atom_site_fract_x
_atom_site_fract_y
_atom_site_fract_z
B1 B 0.0000 0.0000 0.0000
Cl1 Cl 0.0000 0.0000 0.5000
O1 O 0.0000 0.0000 0.0487

Record 6
# meta-GGA SCAN BClO2, single point on PBEsol structure
# - raw total energy (eV/atom) = -4.92
# - formation energy (no corrections) (eV/atom) = 2.050
# - DOS(E_F) (states/eV/atom) = 0.599
# - polymorph energy (0 for the lowest one) (kcal/mol of atoms) = 59.68
data_BClO2
_chemical_formula_sum 'B4 Cl4 O8'
_symmetry_space_group_name_H-M 'F m -3 m'
_symmetry_Int_Tables_number 225
_symmetry_space_group_name_Hall '-F 4 2 3'
_cell_length_a 5.313
_cell_length_b 5.313
_cell_length_c 5.313
_cell_angle_alpha 90.00
_cell_angle_beta 90.00
_cell_angle_gamma 90.00
loop_
_atom_site_label
_atom_site_type_symbol
_atom_site_fract_x
_atom_site_fract_y
_atom_site_fract_z
B1 B 0.000 0.000 0.000
Cl1 Cl 0.000 0.000 0.500
O1 O 0.250 0.250 0.250

Record 7
# meta-GGA SCAN B5Pb2ClO9, single point on PBEsol structure
# - raw total energy (eV/atom) = -17.19
# - formation energy (no corrections) (eV/atom) = -2.323
# - DOS(E_F) (states/eV/atom) = 0.000
data_B5Pb2ClO9
_chemical_formula_sum 'B20 Pb8 Cl4 O36'
_symmetry_space_group_name_H-M 'P n n 2'
_symmetry_Int_Tables_number 34
_symmetry_space_group_name_Hall 'P 2 -2n'
_cell_length_a 11.376
_cell_length_b 11.394
_cell_length_c 6.570
_cell_angle_alpha 90.00
_cell_angle_beta 90.00
_cell_angle_gamma 90.00
loop_
_atom_site_label
_atom_site_type_symbol
_atom_site_fract_x
_atom_site_fract_y
_atom_site_fract_z
B1 B 0.001 0.245 0.000
B2 B 0.176 0.228 0.224
B3 B 0.199 0.315 0.873
B4 B 0.220 0.711 0.057
B5 B 0.231 0.539 0.832
Pb1 Pb 0.041 0.747 0.524
Pb2 Pb 0.241 0.978 0.852
Cl1 Cl 0.000 0.000 0.650
Cl2 Cl 0.000 0.500 0.411
O1 O 0.048 0.214 0.184
O2 O 0.071 0.287 0.847
O3 O 0.117 0.770 0.961
O4 O 0.180 0.258 0.441
O5 O 0.209 0.581 0.024
O6 O 0.223 0.426 0.772
O7 O 0.225 0.320 0.094
O8 O 0.229 0.724 0.276
O9 O 0.236 0.117 0.181

Record 8
# meta-GGA SCAN PrB2ClO4, single point on PBEsol structure
# - raw total energy (eV/atom) = -14.32
# - formation energy (no corrections) (eV/atom) = -2.937
# - DOS(E_F) (states/eV/atom) = 0.000
data_PrB2ClO4
_chemical_formula_sum 'Pr2 B4 Cl2 O8'
_symmetry_space_group_name_H-M 'P -1'
_symmetry_Int_Tables_number 2
_symmetry_space_group_name_Hall '-P 1'
_cell_length_a 4.212
_cell_length_b 6.531
_cell_length_c 8.008
_cell_angle_alpha 82.70
_cell_angle_beta 89.14
_cell_angle_gamma 72.17
loop_
_atom_site_label
_atom_site_type_symbol
_atom_site_fract_x
_atom_site_fract_y
_atom_site_fract_z
Pr1 Pr 0.210 0.033 0.222
B1 B 0.170 0.347 0.850
B2 B 0.433 0.437 0.196
Cl1 Cl 0.149 0.199 0.545
O1 O 0.093 0.462 0.179
O2 O 0.162 0.151 0.921
O3 O 0.367 0.766 0.788
O4 O 0.486 0.370 0.816

Number 1: magnetic moment 0.000 μB/f.u.. Number 2: magnetic moment 0.037 μB/f.u.. Number 3: magnetic moment 0.000 μB/f.u.. Number 4: magnetic moment 5.981 μB/f.u.. Number 5: magnetic moment 0.812 μB/f.u.. Number 6: magnetic moment 0.005 μB/f.u.. Number 7: magnetic moment 0.000 μB/f.u.. Number 8: magnetic moment 0.000 μB/f.u..